Entry 1:
Compound: SbTe2Rh
Source: Alexandria
Functional: PBE-GGA
Structure: relaxed

Results
As for the crystal system: orthorhombic. As for the uncorrected formation energy: 0.37 eV per atom.

CIF file:
```
data_SbTe2Rh
_chemical_formula_sum 'Sb1 Te2 Rh1'
_symmetry_space_group_name_H-M 'P m m m'
_symmetry_Int_Tables_number 47
_symmetry_space_group_name_Hall '-P 2 2'
_cell_length_a 3.492
_cell_length_b 5.084
_cell_length_c 5.213
_cell_angle_alpha 90.00
_cell_angle_beta 90.00
_cell_angle_gamma 90.00
loop_
_atom_site_label
_atom_site_fract_x
_atom_site_fract_y
_atom_site_fract_z
Sb1 0.000 0.000 0.000
Te1 0.000 0.500 0.500
Te2 0.500 0.500 0.000
Rh1 0.500 0.000 0.500
```

***

Entry 2:
Compound: Ac6LaPd3
Source: Alexandria
Functional: PBE-GGA
Structure: relaxed

Results
As for the crystal system: orthorhombic. For the formation energy, the calculation gives -0.436 eV/atom.

CIF file:
```
data_Ac6LaPd3
_chemical_formula_sum 'Ac24 La4 Pd12'
_symmetry_space_group_name_H-M 'C m c 21'
_symmetry_Int_Tables_number 36
_symmetry_space_group_name_Hall 'C 2c -2'
_cell_length_a 12.465
_cell_length_b 14.460
_cell_length_c 7.823
_cell_angle_alpha 90.00
_cell_angle_beta 90.00
_cell_angle_gamma 90.00
loop_
_atom_site_label
_atom_site_fract_x
_atom_site_fract_y
_atom_site_fract_z
Ac1 0.000 0.038 0.000
Ac2 0.000 0.230 0.349
Ac3 0.167 0.459 0.519
Ac4 0.225 0.198 0.665
La1 0.000 0.326 0.887
Pd1 0.000 0.426 0.217
Pd2 0.186 0.092 0.312
```

***

Entry 3:
Compound: BMoSe2N
Source: Alexandria
Functional: PBE-GGA
Structure: relaxed

Results
The value obtained for the offset from the most stable computed form is 0.5260 eV per atom. As for the crystal system: tetragonal. As for the uncorrected formation energy: 1.02 eV per atom.

CIF file:
```
data_BMoSe2N
_chemical_formula_sum 'B1 Mo1 Se2 N1'
_symmetry_space_group_name_H-M 'P 4/m m m'
_symmetry_Int_Tables_number 123
_symmetry_space_group_name_Hall '-P 4 2'
_cell_length_a 5.046
_cell_length_b 5.046
_cell_length_c 3.774
_cell_angle_alpha 90.00
_cell_angle_beta 90.00
_cell_angle_gamma 90.00
loop_
_atom_site_label
_atom_site_fract_x
_atom_site_fract_y
_atom_site_fract_z
B1 0.000 0.000 0.000
Mo1 0.500 0.500 0.500
Se1 0.000 0.500 0.500
N1 0.500 0.500 0.000
```

***

Entry 4:
Compound: Cd2In6Hg5
Source: Alexandria
Functional: PBE-GGA
Structure: relaxed

Results
As for the crystal system: triclinic. For the formation energy, the calculation gives 0.034 eV/atom.

CIF file:
```
data_Cd2In6Hg5
_chemical_formula_sum 'Cd2 In6 Hg5'
_symmetry_space_group_name_H-M 'P -1'
_symmetry_Int_Tables_number 2
_symmetry_space_group_name_Hall '-P 1'
_cell_length_a 3.709
_cell_length_b 8.589
_cell_length_c 11.642
_cell_angle_alpha 69.38
_cell_angle_beta 89.86
_cell_angle_gamma 89.56
loop_
_atom_site_label
_atom_site_fract_x
_atom_site_fract_y
_atom_site_fract_z
Cd1 0.002 0.104 0.283
In1 0.001 0.313 0.472
In2 0.001 0.487 0.152
In3 0.020 0.119 0.864
Hg1 0.494 0.627 0.327
Hg2 0.498 0.757 0.953
Hg3 0.500 0.000 0.500
```

***

Entry 5:
Compound: Tb6PmPrNd2
Source: Alexandria
Functional: PBE-GGA
Structure: relaxed

Results
As for the crystal system: monoclinic. For the formation energy, the calculation gives 0.119 eV/atom.

CIF file:
```
data_Tb6PmPrNd2
_chemical_formula_sum 'Tb24 Pm4 Pr4 Nd8'
_symmetry_space_group_name_H-M 'C 1 2/c 1'
_symmetry_Int_Tables_number 15
_symmetry_space_group_name_Hall '-C 2yc'
_cell_length_a 9.125
_cell_length_b 15.167
_cell_length_c 9.859
_cell_angle_alpha 90.00
_cell_angle_beta 99.06
_cell_angle_gamma 90.00
loop_
_atom_site_label
_atom_site_fract_x
_atom_site_fract_y
_atom_site_fract_z
Tb1 0.070 0.190 0.443
Tb2 0.098 0.395 0.620
Tb3 0.201 0.225 0.815
Pm1 0.000 0.406 0.250
Pr1 0.000 0.018 0.750
Nd1 0.242 0.051 0.042
```

***

Entry 6:
Compound: RbPrZnTe3
Source: Alexandria
Functional: PBE-GGA
Structure: relaxed

Results
As for the crystal system: monoclinic. As for the uncorrected formation energy: -1.07 eV per atom.

CIF file:
```
data_RbPrZnTe3
_chemical_formula_sum 'Rb2 Pr2 Zn2 Te6'
_symmetry_space_group_name_H-M 'P 1 21/m 1'
_symmetry_Int_Tables_number 11
_symmetry_space_group_name_Hall '-P 2yb'
_cell_length_a 10.130
_cell_length_b 4.528
_cell_length_c 10.756
_cell_angle_alpha 90.00
_cell_angle_beta 108.43
_cell_angle_gamma 90.00
loop_
_atom_site_label
_atom_site_fract_x
_atom_site_fract_y
_atom_site_fract_z
Rb1 0.212 0.250 0.243
Pr1 0.325 0.750 0.860
Zn1 0.083 0.250 0.610
Te1 0.101 0.250 0.861
Te2 0.196 0.750 0.534
Te3 0.465 0.750 0.168
```

***

Entry 7:
Compound: SrAl4Ag4
Source: Alexandria
Functional: PBE-GGA
Structure: relaxed

Results
As for the crystal system: tetragonal. For the formation energy, the calculation gives -0.180 eV/atom.

CIF file:
```
data_SrAl4Ag4
_chemical_formula_sum 'Sr2 Al8 Ag8'
_symmetry_space_group_name_H-M 'I 4/m'
_symmetry_Int_Tables_number 87
_symmetry_space_group_name_Hall '-I 4'
_cell_length_a 8.958
_cell_length_b 8.958
_cell_length_c 4.817
_cell_angle_alpha 90.00
_cell_angle_beta 90.00
_cell_angle_gamma 90.00
loop_
_atom_site_label
_atom_site_fract_x
_atom_site_fract_y
_atom_site_fract_z
Sr1 0.000 0.000 0.000
Al1 0.104 0.392 0.000
Ag1 0.172 0.294 0.500
```

***

Entry 8:
Compound: Rb3Te2Se4
Source: Alexandria
Functional: PBE-GGA
Structure: relaxed

Results
The value obtained for the offset from the most stable computed form is 0.0147 eV per atom. As for the crystal system: monoclinic. As for the uncorrected formation energy: -0.63 eV per atom.

CIF file:
```
data_Rb3Te2Se4
_chemical_formula_sum 'Rb6 Te4 Se8'
_symmetry_space_group_name_H-M 'C 1 2/m 1'
_symmetry_Int_Tables_number 12
_symmetry_space_group_name_Hall '-C 2y'
_cell_length_a 13.560
_cell_length_b 5.364
_cell_length_c 10.155
_cell_angle_alpha 90.00
_cell_angle_beta 108.84
_cell_angle_gamma 90.00
loop_
_atom_site_label
_atom_site_fract_x
_atom_site_fract_y
_atom_site_fract_z
Rb1 0.000 0.000 0.000
Rb2 0.153 0.500 0.715
Te1 0.137 0.500 0.322
Se1 0.109 0.000 0.367
Se2 0.194 0.500 0.107
```

***

Entry 9:
Compound: Ga3CuNi
Source: Alexandria
Functional: PBE-GGA
Structure: relaxed

Results
The value obtained for the offset from the most stable computed form is 0.3394 eV per atom. As for the crystal system: cubic. For the formation energy, the calculation gives 0.137 eV/atom.

CIF file:
```
data_Ga3CuNi
_chemical_formula_sum 'Ga3 Cu1 Ni1'
_symmetry_space_group_name_H-M 'P m -3 m'
_symmetry_Int_Tables_number 221
_symmetry_space_group_name_Hall '-P 4 2 3'
_cell_length_a 4.519
_cell_length_b 4.519
_cell_length_c 4.519
_cell_angle_alpha 90.00
_cell_angle_beta 90.00
_cell_angle_gamma 90.00
loop_
_atom_site_label
_atom_site_fract_x
_atom_site_fract_y
_atom_site_fract_z
Ga1 0.000 0.000 0.500
Cu1 0.500 0.500 0.500
Ni1 0.000 0.000 0.000
```

***

Entry 10:
Compound: Al2TcHPd
Source: Alexandria
Functional: PBE-GGA
Structure: relaxed

Results
The value obtained for the offset from the most stable computed form is 0.6405 eV per atom. As for the crystal system: tetragonal.

CIF file:
```
data_Al2TcHPd
_chemical_formula_sum 'Al2 Tc1 H1 Pd1'
_symmetry_space_group_name_H-M 'P 4/m m m'
_symmetry_Int_Tables_number 123
_symmetry_space_group_name_Hall '-P 4 2'
_cell_length_a 4.827
_cell_length_b 4.827
_cell_length_c 3.130
_cell_angle_alpha 90.00
_cell_angle_beta 90.00
_cell_angle_gamma 90.00
loop_
_atom_site_label
_atom_site_fract_x
_atom_site_fract_y
_atom_site_fract_z
Al1 0.000 0.500 0.000
Tc1 0.000 0.000 0.500
H1 0.500 0.500 0.500
Pd1 0.500 0.500 0.000
```

***

Entry 11:
Compound: KBe2CF
Source: Alexandria
Functional: PBE-GGA
Structure: relaxed

Results
As for the crystal system: tetragonal. As for the uncorrected formation energy: 2.43 eV per atom.

CIF file:
```
data_KBe2CF
_chemical_formula_sum 'K1 Be2 C1 F1'
_symmetry_space_group_name_H-M 'P 4/m m m'
_symmetry_Int_Tables_number 123
_symmetry_space_group_name_Hall '-P 4 2'
_cell_length_a 6.497
_cell_length_b 6.497
_cell_length_c 5.415
_cell_angle_alpha 90.00
_cell_angle_beta 90.00
_cell_angle_gamma 90.00
loop_
_atom_site_label
_atom_site_fract_x
_atom_site_fract_y
_atom_site_fract_z
K1 0.000 0.000 0.000
Be1 0.000 0.500 0.000
C1 0.000 0.000 0.500
F1 0.500 0.500 0.500
```

***

Entry 12:
Compound: DyInSn2
Source: Alexandria
Functional: PBE-GGA
Structure: relaxed

Results
As for the crystal system: trigonal. For the formation energy, the calculation gives -0.208 eV/atom.

CIF file:
```
data_DyInSn2
_chemical_formula_sum 'Dy3 In3 Sn6'
_symmetry_space_group_name_H-M 'R 3 m'
_symmetry_Int_Tables_number 160
_symmetry_space_group_name_Hall 'R 3 -2"'
_cell_length_a 4.6220
_cell_length_b 4.6220
_cell_length_c 19.1157
_cell_angle_alpha 90.00
_cell_angle_beta 90.00
_cell_angle_gamma 120.00
loop_
_atom_site_label
_atom_site_fract_x
_atom_site_fract_y
_atom_site_fract_z
Dy1 0.0000 0.0000 0.0000
In1 0.0000 0.0000 0.1739
Sn1 0.0000 0.0000 0.4203
Sn2 0.0000 0.0000 0.5837
```